[1]
LiZrSc2 (PBE, relaxed); energy relative to the elements = 0.051 eV per atom; crystal system = tetragonal; polymorph energy (0 for the lowest one) = 0.0000 eV per atom
1.0
3.2274 0.0000 0.0000
0.0000 3.2274 0.0000
0.0000 0.0000 8.8280
Li Zr Sc
1 1 2
direct
0.0000 0.0000 0.0000
0.0000 0.0000 0.5000
0.5000 0.5000 0.2542
0.5000 0.5000 0.7458

---

[2]
SbAsS2 (PBE, relaxed); formation energy (no corrections) = 0.191 eV per atom; crystal system = tetragonal; polymorph energy (0 for the lowest one) = 0.2480 eV per atom
1.0
-3.6178 3.6178 3.3274
3.6178 -3.6178 3.3274
3.6178 3.6178 -3.3274
Sb As S
2 2 4
direct
0.0000 0.0000 0.0000
0.7500 0.2500 0.5000
0.2500 0.7500 0.5000
0.5000 0.5000 0.0000
0.1434 0.6250 0.0184
0.3750 0.3934 0.5184
0.6066 0.1250 0.9816
0.8750 0.8566 0.4816

---

[3]
K2Zr2Cu (PBE, relaxed); energy relative to the elements = 0.736 eV per atom; crystal system = tetragonal; polymorph energy (0 for the lowest one) = 0.0000 eV per atom
1.0
6.7540 0.0000 0.0000
0.0000 6.7540 0.0000
0.0000 0.0000 6.6574
K Zr Cu
4 4 2
direct
0.2038 0.2962 0.0000
0.2962 0.7962 0.0000
0.7038 0.2038 0.0000
0.7962 0.7038 0.0000
0.1366 0.6366 0.5000
0.3634 0.1366 0.5000
0.6366 0.8634 0.5000
0.8634 0.3634 0.5000
0.0000 0.0000 0.5000
0.5000 0.5000 0.5000

---

[4]
Tl3SiPd (PBE, relaxed); formation energy (no corrections) = 0.468 eV per atom; crystal system = cubic; polymorph energy (0 for the lowest one) = 0.0000 eV per atom
1.0
5.3058 0.0000 0.0000
0.0000 5.3058 0.0000
0.0000 0.0000 5.3058
Tl Si Pd
3 1 1
direct
0.0000 0.0000 0.5000
0.0000 0.5000 0.0000
0.5000 0.0000 0.0000
0.5000 0.5000 0.5000
0.0000 0.0000 0.0000

---

[5]
Ca2MnGe4Pt3 (PBE, relaxed); energy relative to the elements = -0.690 eV per atom; crystal system = tetragonal
1.0
4.2350 0.0000 0.0000
0.0000 4.2350 0.0000
0.0000 0.0000 10.6239
Ca Mn Ge Pt
2 1 4 3
direct
0.0000 0.5000 0.2484
0.5000 0.0000 0.7516
0.5000 0.5000 0.0000
0.0000 0.0000 0.5000
0.0000 0.5000 0.8679
0.5000 0.0000 0.1321
0.5000 0.5000 0.5000
0.0000 0.0000 0.0000
0.0000 0.5000 0.6317
0.5000 0.0000 0.3683

---

[6]
EuH9C5N2O8 (PBE, relaxed); electronic total energy = -6.647 eV/atom; crystal system = monoclinic
1.0
5.8666 -3.7001 0.0000
5.8666 3.7001 0.0000
-2.3441 0.0000 6.3227
Eu H C N O
1 9 5 2 8
direct
0.0000 0.0000 0.0000
0.1403 0.4768 0.1211
0.2692 0.4928 0.5361
0.3612 0.2150 0.4020
0.5072 0.7308 0.4639
0.5232 0.8597 0.8789
0.5347 0.4358 0.8230
0.5642 0.4653 0.1770
0.7850 0.6388 0.5980
0.9300 0.0700 0.5000
0.0367 0.4766 0.9604
0.0793 0.9207 0.5000
0.5234 0.9633 0.0396
0.5318 0.2904 0.6999
0.7096 0.4682 0.3001
0.3735 0.3341 0.5333
0.6659 0.6265 0.4667
0.1516 0.8336 0.6624
0.1664 0.8484 0.3376
0.3628 0.0095 0.1243
0.6699 0.1041 0.7235
0.6792 0.0266 0.1251
0.8959 0.3301 0.2765
0.9734 0.3208 0.8749
0.9905 0.6372 0.8757

---

[7]
Sm8NiSn2 (PBE, relaxed); energy relative to the elements = -0.338 eV per atom; crystal system = monoclinic
1.0
9.6972 -2.4993 0.0000
9.6972 2.4993 0.0000
-1.6480 0.0000 6.6958
Sm Ni Sn
8 1 2
direct
0.0143 0.0143 0.2836
0.2162 0.2162 0.8210
0.3558 0.3558 0.4968
0.4084 0.4084 0.0241
0.5916 0.5916 0.9759
0.6442 0.6442 0.5032
0.7838 0.7838 0.1790
0.9857 0.9857 0.7164
0.5000 0.5000 0.5000
0.1816 0.1816 0.2601
0.8184 0.8184 0.7399

---

[8]
Li8TlSn2 (PBE, relaxed); energy relative to the elements = -0.293 eV per atom; crystal system = monoclinic
1.0
7.0536 -2.3141 0.0000
7.0536 2.3141 0.0000
-3.3590 0.0000 6.3330
Li Tl Sn
8 1 2
direct
0.0240 0.0240 0.2199
0.1529 0.1529 0.7061
0.3284 0.3284 0.6095
0.3910 0.3910 0.0547
0.6090 0.6090 0.9453
0.6716 0.6716 0.3905
0.8471 0.8471 0.2939
0.9760 0.9760 0.7801
0.5000 0.5000 0.5000
0.2108 0.2108 0.1628
0.7892 0.7892 0.8372

---

[9]
YAlHg2 (PBE, relaxed); energy relative to the elements = -0.196 eV per atom; crystal system = orthorhombic
1.0
-2.0566 2.3304 4.9076
2.0566 -2.3304 4.9076
2.0566 2.3304 -4.9076
Y Al Hg
1 1 2
direct
0.0000 0.0000 0.0000
0.2498 0.7498 0.5000
0.4602 0.4602 0.0000
0.7328 0.2328 0.5000

---

[10]
Pr6P2SeCl3 (PBE, relaxed); formation energy (no corrections) = -1.609 eV per atom; crystal system = monoclinic
1.0
9.1833 -2.1113 0.0000
9.1833 2.1113 0.0000
-1.9167 0.0000 8.2158
Pr P Se Cl
6 2 1 3
direct
0.0109 0.0109 0.2435
0.3263 0.3263 0.4354
0.3362 0.3362 0.8909
0.6638 0.6638 0.1091
0.6737 0.6737 0.5646
0.9891 0.9891 0.7565
0.1682 0.1682 0.3354
0.8318 0.8318 0.6646
0.5000 0.5000 0.0000
0.1664 0.1664 0.8340
0.5000 0.5000 0.5000
0.8336 0.8336 0.1660

---

[11]
CoSiNi2 (PBE, relaxed); formation energy (no corrections) = -0.205 eV per atom; crystal system = tetragonal
1.0
2.6758 0.0000 0.0000
0.0000 2.6758 0.0000
0.0000 0.0000 6.1880
Co Si Ni
1 1 2
direct
0.0000 0.0000 0.0000
0.0000 0.0000 0.5000
0.5000 0.5000 0.2735
0.5000 0.5000 0.7265

---

[12]
Tm3GaPd2 (PBE, relaxed); energy relative to the elements = -0.829 eV per atom; crystal system = tetragonal
1.0
3.4537 0.0000 0.0000
0.0000 3.4537 0.0000
0.0000 0.0000 10.6673
Tm Ga Pd
3 1 2
direct
0.0000 0.0000 0.0000
0.0000 0.0000 0.3261
0.0000 0.0000 0.6739
0.5000 0.5000 0.5000
0.5000 0.5000 0.1672
0.5000 0.5000 0.8328